Material: Na2CdCoSe4
Method: DFT, PBE-GGA
State: relaxed

a b c (Å): 6.7470 6.7470 6.7625
angles (deg): 120.04 120.04 89.63
Closest atoms and distances in Å follow each position.
Element x y z (fractional)
Na: 0.0000 0.0000 0.0000  4 Se 2.96
Na: 0.7512 0.2488 0.5000  4 Se 2.89
Cd: 0.2499 0.7501 0.5000  4 Se 2.65
Co: 0.5006 0.4994 0.0000  4 Se 2.28
Se: 0.1942 0.4123 0.0287  1 Co 2.28
Se: 0.3846 0.1651 0.5777  1 Co 2.28
Se: 0.5877 0.8058 0.9713  1 Co 2.28
Se: 0.8349 0.6154 0.4223  1 Co 2.28

Properties
- space group = C2 (5)
- spin magnetization (μB/atom) = 0.3107

---

Material: PmY
Method: DFT, PBE-GGA
State: relaxed

a b c (Å): 3.7626 3.7626 10.2874
angles (deg): 90.00 90.00 120.00
Closest atoms and distances in Å follow each position.
Element x y z (fractional)
Pm: 0.3333 0.6667 0.2500  6 Y 3.37, 6 Pm 3.76
Pm: 0.6667 0.3333 0.7500  6 Y 3.37, 6 Pm 3.76
Y: 0.0000 0.0000 0.0000  6 Pm 3.37, 6 Y 3.76
Y: 0.0000 0.0000 0.5000  6 Pm 3.37, 6 Y 3.76

Properties
- space group = P6_3/mmc (194)
- energy above the most stable polymorph in this dataset (eV/atom) = 0.1064
- ΔH_f (0 K) (meV/atom) = 132
- spin magnetization (μB/atom) = 0.0065

---

Material: AlFe2W
Method: DFT, PBE-GGA
State: relaxed

a b c (Å): 2.8758 2.8758 6.0050
angles (deg): 90.00 90.00 90.00
Closest atoms and distances in Å follow each position.
Element x y z (fractional)
Al: 0.0000 0.0000 0.0000  8 Fe 2.50
Fe: 0.5000 0.5000 0.2414  4 Al 2.50, 4 W 2.56
Fe: 0.5000 0.5000 0.7586  4 Al 2.50, 4 W 2.56
W: 0.0000 0.0000 0.5000  8 Fe 2.56

Properties
- space group = P4/mmm (123)
- spin magnetization (μB/atom) = 0.0822

---

Material: LiTaAlCu
Method: DFT, PBE-GGA
State: relaxed

a b c (Å): 4.3398 4.3398 4.3398
angles (deg): 60.00 60.00 60.00
Closest atoms and distances in Å follow each position.
Element x y z (fractional)
Li: 0.0000 0.0000 0.0000  4 Ta 2.66, 4 Cu 2.66
Ta: 0.2500 0.2500 0.2500  4 Al 2.66, 4 Li 2.66
Al: 0.5000 0.5000 0.5000  4 Cu 2.66, 4 Ta 2.66
Cu: 0.7500 0.7500 0.7500  4 Al 2.66, 4 Li 2.66

Properties
- space group = F-43m (216)
- energy above the most stable polymorph in this dataset (eV/atom) = 0.1087
- spin magnetization (μB/atom) = 0.0028

---

Material: RbSbIr
Method: DFT, PBE-GGA
State: relaxed

a b c (Å): 4.8831 4.8831 4.8831
angles (deg): 60.00 60.00 60.00
Closest atoms and distances in Å follow each position.
Element x y z (fractional)
Rb: 0.0000 0.0000 0.0000  4 Ir 2.99
Sb: 0.5000 0.5000 0.5000  4 Ir 2.99
Ir: 0.2500 0.2500 0.2500  4 Sb 2.99, 4 Rb 2.99

Properties
- space group = F-43m (216)
- energy above the most stable polymorph in this dataset (eV/atom) = 0.0000
- spin magnetization (μB/atom) = 0.0059

---

Material: HoLuTh
Method: DFT, PBE-GGA
State: relaxed

a b c (Å): 5.3680 5.3680 5.3680
angles (deg): 60.00 60.00 60.00
Closest atoms and distances in Å follow each position.
Element x y z (fractional)
Ho: 0.0000 0.0000 0.0000  4 Lu 3.29
Lu: 0.2500 0.2500 0.2500  4 Th 3.29, 4 Ho 3.29
Th: 0.5000 0.5000 0.5000  4 Lu 3.29

Properties
- space group = F-43m (216)
- energy above the most stable polymorph in this dataset (eV/atom) = 0.0000
- ΔH_f (0 K) (meV/atom) = 786
- spin magnetization (μB/atom) = 0.0041

---

Material: AlFe2As
Method: DFT, PBE-GGA
State: relaxed

a b c (Å): 5.7482 5.7482 5.7482
angles (deg): 90.00 90.00 90.00
Closest atoms and distances in Å follow each position.
Element x y z (fractional)
Al: 0.0000 0.0000 0.0000  8 Fe 2.54
Al: 0.0000 0.0000 0.5000  8 Fe 2.51
Al: 0.0000 0.5000 0.0000  8 Fe 2.51
Al: 0.5000 0.0000 0.0000  8 Fe 2.51
Fe: 0.2548 0.2548 0.2548  4 As 2.44-2.47, 4 Al 2.51-2.54
Fe: 0.2548 0.2548 0.7452  4 As 2.44-2.47, 4 Al 2.51-2.54
Fe: 0.2548 0.7452 0.2548  4 As 2.44-2.47, 4 Al 2.51-2.54
Fe: 0.2548 0.7452 0.7452  4 As 2.44-2.47, 4 Al 2.51-2.54
Fe: 0.7452 0.2548 0.2548  4 As 2.44-2.47, 4 Al 2.51-2.54
Fe: 0.7452 0.2548 0.7452  4 As 2.44-2.47, 4 Al 2.51-2.54
Fe: 0.7452 0.7452 0.2548  4 As 2.44-2.47, 4 Al 2.51-2.54
Fe: 0.7452 0.7452 0.7452  4 As 2.44-2.47, 4 Al 2.51-2.54
As: 0.0000 0.5000 0.5000  8 Fe 2.47
As: 0.5000 0.0000 0.5000  8 Fe 2.47
As: 0.5000 0.5000 0.0000  8 Fe 2.47
As: 0.5000 0.5000 0.5000  8 Fe 2.44

Properties
- space group = Pm-3m (221)
- spin magnetization (μB/atom) = 0.0001

---

Material: LuBeAu
Method: DFT, PBE-GGA
State: relaxed

a b c (Å): 4.4843 4.4843 4.4843
angles (deg): 60.00 60.00 60.00
Closest atoms and distances in Å follow each position.
Element x y z (fractional)
Lu: 0.0000 0.0000 0.0000  4 Au 2.75
Be: 0.5000 0.5000 0.5000  4 Au 2.75
Au: 0.7500 0.7500 0.7500  4 Be 2.75, 4 Lu 2.75

Properties
- space group = F-43m (216)
- energy above the most stable polymorph in this dataset (eV/atom) = 0.0000
- spin magnetization (μB/atom) = 0.0519

---

Material: ZrAgO3
Method: DFT, PBE-GGA
State: relaxed

a b c (Å): 5.4713 9.0627 5.1752
angles (deg): 90.00 90.00 90.00
Closest atoms and distances in Å follow each position.
Element x y z (fractional)
Zr: 0.0423 0.2500 0.0375  6 O 2.02-2.23
Zr: 0.4577 0.7500 0.5375  6 O 2.02-2.23
Zr: 0.5423 0.2500 0.4625  6 O 2.02-2.23
Zr: 0.9577 0.7500 0.9625  6 O 2.02-2.23
Ag: 0.0000 0.0000 0.5000  4 O 2.11-2.14
Ag: 0.0000 0.5000 0.5000  4 O 2.11-2.14
Ag: 0.5000 0.0000 0.0000  4 O 2.11-2.14
Ag: 0.5000 0.5000 0.0000  4 O 2.11-2.14
O: 0.1712 0.7500 0.2804  2 Zr 2.02-2.06
O: 0.2194 0.6053 0.7791  2 Ag 2.11-2.14, 2 Zr 2.16-2.23
O: 0.2194 0.8947 0.7791  2 Ag 2.11-2.14, 2 Zr 2.16-2.23
O: 0.2806 0.1053 0.2791  2 Ag 2.11-2.14, 2 Zr 2.16-2.23
O: 0.2806 0.3947 0.2791  2 Ag 2.11-2.14, 2 Zr 2.16-2.23
O: 0.3288 0.2500 0.7804  2 Zr 2.02-2.06
O: 0.6712 0.7500 0.2196  2 Zr 2.02-2.06
O: 0.7194 0.6053 0.7209  2 Ag 2.11-2.14, 2 Zr 2.16-2.23
O: 0.7194 0.8947 0.7209  2 Ag 2.11-2.14, 2 Zr 2.16-2.23
O: 0.7806 0.1053 0.2209  2 Ag 2.11-2.14, 2 Zr 2.16-2.23
O: 0.7806 0.3947 0.2209  2 Ag 2.11-2.14, 2 Zr 2.16-2.23
O: 0.8288 0.2500 0.7196  2 Zr 2.02-2.06

Properties
- space group = Pnma (62)
- spin magnetization (μB/atom) = 0.0005

---

Material: BeAgSO
Method: DFT, PBE-GGA
State: relaxed

a b c (Å): 3.2287 3.2287 11.3852
angles (deg): 90.00 90.00 90.00
Closest atoms and distances in Å follow each position.
Element x y z (fractional)
Be: 0.2500 0.7500 0.0000  4 S 2.07, 4 Be 2.28
Be: 0.7500 0.2500 0.0000  4 S 2.07, 4 Be 2.28
Ag: 0.2500 0.2500 0.3844  5 O 2.29-2.53
Ag: 0.7500 0.7500 0.6156  5 O 2.29-2.53
S: 0.2500 0.2500 0.8868  4 Be 2.07
S: 0.7500 0.7500 0.1132  4 Be 2.07
O: 0.2500 0.2500 0.6062  5 Ag 2.29-2.53
O: 0.7500 0.7500 0.3938  5 Ag 2.29-2.53

Properties
- space group = P4/nmm (129)
- energy above the most stable polymorph in this dataset (eV/atom) = 0.8371

---

Material: MgCdB2
Method: DFT, PBE-GGA
State: relaxed

a b c (Å): 4.3033 4.3033 4.3033
angles (deg): 60.00 60.00 60.00
Closest atoms and distances in Å follow each position.
Element x y z (fractional)
Mg: 0.0000 0.0000 0.0000  4 B 2.64, 4 Cd 2.64
Cd: 0.2500 0.2500 0.2500  4 Mg 2.64, 4 B 2.64
B: 0.5000 0.5000 0.5000  4 B 2.64, 4 Cd 2.64
B: 0.7500 0.7500 0.7500  4 Mg 2.64, 4 B 2.64

Properties
- space group = F-43m (216)

---

Material: Dy2Re3Si5
Method: DFT, PBE-GGA
State: relaxed

a b c (Å): 10.9868 10.9868 5.5230
angles (deg): 90.00 90.00 90.00
Closest atoms and distances in Å follow each position.
Element x y z (fractional)
Dy: 0.0776 0.2373 0.0000  7 Si 2.84-3.16, 2 Re 3.13
Dy: 0.2373 0.9224 0.0000  7 Si 2.84-3.16, 2 Re 3.13
Dy: 0.2627 0.4224 0.5000  7 Si 2.84-3.16, 2 Re 3.13
Dy: 0.4224 0.7373 0.5000  7 Si 2.84-3.16, 2 Re 3.13
Dy: 0.5776 0.2627 0.5000  7 Si 2.84-3.16, 2 Re 3.13
Dy: 0.7373 0.5776 0.5000  7 Si 2.84-3.16, 2 Re 3.13
Dy: 0.7627 0.0776 0.0000  7 Si 2.84-3.16, 2 Re 3.13
Dy: 0.9224 0.7627 0.0000  7 Si 2.84-3.16, 2 Re 3.13
Re: 0.0000 0.5000 0.2500  6 Si 2.48-2.68, 2 Re 2.76
Re: 0.0000 0.5000 0.7500  6 Si 2.48-2.68, 2 Re 2.76
Re: 0.1235 0.8529 0.5000  6 Si 2.47-2.55
Re: 0.1471 0.1235 0.5000  6 Si 2.47-2.55
Re: 0.3529 0.6235 0.0000  6 Si 2.47-2.55
Re: 0.3765 0.3529 0.0000  6 Si 2.47-2.55
Re: 0.5000 0.0000 0.2500  6 Si 2.48-2.68, 2 Re 2.76
Re: 0.5000 0.0000 0.7500  6 Si 2.48-2.68, 2 Re 2.76
Re: 0.6235 0.6471 0.0000  6 Si 2.47-2.55
Re: 0.6471 0.3765 0.0000  6 Si 2.47-2.55
Re: 0.8529 0.8765 0.5000  6 Si 2.47-2.55
Re: 0.8765 0.1471 0.5000  6 Si 2.47-2.55
Si: 0.0000 0.0000 0.2423  4 Re 2.55, 2 Si 2.68-2.85
Si: 0.0000 0.0000 0.7577  4 Re 2.55, 2 Si 2.68-2.85
Si: 0.0280 0.3142 0.5000  4 Re 2.47-2.48, 2 Si 2.60
Si: 0.1723 0.6723 0.2500  3 Re 2.48-2.68, 4 Si 2.60-2.76
Si: 0.1723 0.6723 0.7500  3 Re 2.48-2.68, 4 Si 2.60-2.76
Si: 0.1858 0.4720 0.0000  4 Re 2.47-2.48, 2 Si 2.60
Si: 0.3142 0.9720 0.5000  4 Re 2.47-2.48, 2 Si 2.60
Si: 0.3277 0.1723 0.2500  3 Re 2.48-2.68, 4 Si 2.60-2.76
Si: 0.3277 0.1723 0.7500  3 Re 2.48-2.68, 4 Si 2.60-2.76
Si: 0.4720 0.8142 0.0000  4 Re 2.47-2.48, 2 Si 2.60
Si: 0.5000 0.5000 0.2577  4 Re 2.55, 2 Si 2.68-2.85
Si: 0.5000 0.5000 0.7423  4 Re 2.55, 2 Si 2.68-2.85
Si: 0.5280 0.1858 0.0000  4 Re 2.47-2.48, 2 Si 2.60
Si: 0.6723 0.8277 0.2500  3 Re 2.48-2.68, 4 Si 2.60-2.76
Si: 0.6723 0.8277 0.7500  3 Re 2.48-2.68, 4 Si 2.60-2.76
Si: 0.6858 0.0280 0.5000  4 Re 2.47-2.48, 2 Si 2.60
Si: 0.8142 0.5280 0.0000  4 Re 2.47-2.48, 2 Si 2.60
Si: 0.8277 0.3277 0.2500  3 Re 2.48-2.68, 4 Si 2.60-2.76
Si: 0.8277 0.3277 0.7500  3 Re 2.48-2.68, 4 Si 2.60-2.76
Si: 0.9720 0.6858 0.5000  4 Re 2.47-2.48, 2 Si 2.60

Properties
- space group = P4/mnc (128)
- spin magnetization (μB/atom) = 0.0001

---

Material: Tb6OsO12
Method: DFT, PBE-GGA
State: relaxed

a b c (Å): 6.4603 6.4603 6.4603
angles (deg): 98.67 98.67 98.67
Closest atoms and distances in Å follow each position.
Element x y z (fractional)
Tb: 0.1114 0.8127 0.6438  6 O 2.20-2.42
Tb: 0.1873 0.3562 0.8886  6 O 2.20-2.42
Tb: 0.3562 0.8886 0.1873  6 O 2.20-2.42
Tb: 0.6438 0.1114 0.8127  6 O 2.20-2.42
Tb: 0.8127 0.6438 0.1114  6 O 2.20-2.42
Tb: 0.8886 0.1873 0.3562  6 O 2.20-2.42
Os: 0.5000 0.5000 0.5000  6 O 1.96
O: 0.0652 0.9104 0.3225  4 Tb 2.20-2.29
O: 0.0896 0.6775 0.9348  4 Tb 2.20-2.29
O: 0.2031 0.4284 0.5345  1 Os 1.96
O: 0.3225 0.0652 0.9104  4 Tb 2.20-2.29
O: 0.4284 0.5345 0.2031  1 Os 1.96
O: 0.4655 0.7969 0.5716  1 Os 1.96
O: 0.5345 0.2031 0.4284  1 Os 1.96
O: 0.5716 0.4655 0.7969  1 Os 1.96
O: 0.6775 0.9348 0.0896  4 Tb 2.20-2.29
O: 0.7969 0.5716 0.4655  1 Os 1.96
O: 0.9104 0.3225 0.0652  4 Tb 2.20-2.29
O: 0.9348 0.0896 0.6775  4 Tb 2.20-2.29

Properties
- space group = R-3 (148)
- spin magnetization (μB/atom) = 0.1052

---

Material: La2HoMg3Ir2Pd
Method: DFT, PBE-GGA
State: relaxed

a b c (Å): 4.0957 7.5180 7.5180
angles (deg): 120.19 90.00 90.00
Closest atoms and distances in Å follow each position.
Element x y z (fractional)
La: 0.0000 0.2112 0.7888  4 Ir 3.05-3.08, 1 Pd 3.21, 2 Mg 3.25
La: 0.0000 0.7888 0.2112  4 Ir 3.05-3.08, 1 Pd 3.21, 2 Mg 3.25
Ho: 0.0000 0.6274 0.6274  4 Ir 3.00, 1 Pd 3.06, 2 Mg 3.24
Mg: 0.5000 0.2178 0.4557  2 Pd 2.71, 2 Ir 2.86-3.02
Mg: 0.5000 0.4557 0.2178  2 Pd 2.71, 2 Ir 2.86-3.02
Mg: 0.5000 0.9631 0.9631  2 Pd 2.81, 2 Ir 2.82
Ir: 0.5000 0.5502 0.8727  3 Mg 2.82-3.02, 2 Ho 3.00, 4 La 3.05-3.08
Ir: 0.5000 0.8727 0.5502  3 Mg 2.82-3.02, 2 Ho 3.00, 4 La 3.05-3.08
Pd: 0.0000 0.2197 0.2197  6 Mg 2.71-2.81

Properties
- space group = Amm2 (38)
- spin magnetization (μB/atom) = 0.0001

---

Material: Cu5Ag4
Method: DFT, PBE-GGA
State: relaxed

a b c (Å): 16.4532 16.4532 16.4532
angles (deg): 170.13 170.13 13.98
Closest atoms and distances in Å follow each position.
Element x y z (fractional)
Cu: 0.0000 0.0000 0.0000  8 Ag 2.73, 4 Cu 2.83
Cu: 0.2269 0.2269 0.0000  8 Cu 2.51
Cu: 0.3194 0.3194 0.0000  4 Cu 2.51, 4 Ag 2.74
Cu: 0.6806 0.6806 0.0000  4 Cu 2.51, 4 Ag 2.74
Cu: 0.7731 0.7731 0.0000  8 Cu 2.51
Ag: 0.1234 0.1234 0.0000  4 Cu 2.74, 8 Ag 2.83-2.96
Ag: 0.4433 0.4433 0.0000  4 Cu 2.73, 8 Ag 2.83-2.96
Ag: 0.5567 0.5567 0.0000  4 Cu 2.73, 8 Ag 2.83-2.96
Ag: 0.8766 0.8766 0.0000  4 Cu 2.74, 8 Ag 2.83-2.96

Properties
- space group = I4/mmm (139)
- energy above the most stable polymorph in this dataset (eV/atom) = 0.0182
- ΔH_f (0 K) (meV/atom) = 59

---

Material: TaSnW
Method: DFT, PBE-GGA
State: relaxed

a b c (Å): 4.5367 4.5367 4.5367
angles (deg): 60.00 60.00 60.00
Closest atoms and distances in Å follow each position.
Element x y z (fractional)
Ta: 0.0000 0.0000 0.0000  4 W 2.78
Sn: 0.5000 0.5000 0.5000  4 W 2.78
W: 0.7500 0.7500 0.7500  4 Sn 2.78, 4 Ta 2.78

Properties
- space group = F-43m (216)
- energy above the most stable polymorph in this dataset (eV/atom) = 0.0000
- spin magnetization (μB/atom) = 0.0069

---

The calculation returns the following uncorrected energy values, one per record and in order: -28.45, -21.89, -33.99, -20.19, -11.97, -14.15, -102.57, -11.99, -142.13, -33.99, -10.09, -317.72, -156.32, -48.02, -29.35, -26.59 eV per cell.